Compound: ZnIr3
Source: the Open Quantum Materials Database
Functional: PBE
Structure: relaxed

Structure (POSCAR):
```
ZnIr3
1.0
1.381 -4.906 0.000
1.381 4.906 0.000
0.000 0.000 8.710
Zn Ir
2 6
Cartesian
1.381 4.535 6.533
1.381 -4.535 2.178
1.381 2.692 2.178
1.381 1.287 4.439
1.381 1.287 8.626
1.381 -1.287 0.084
1.381 -1.287 4.271
1.381 -2.692 6.533
```

Values from the calculation:
space group: Cmcm
formation enthalpy at 0 K: -2.2 kJ/mol of atoms